Run one
A plane-wave DFT calculation with PBE-GGA was carried out for a relaxed ZrTi3Re crystal.

It has space group Cmcm (No. 63), with a = 5.760 Å, b = 12.215 Å, c = 5.261 Å, α = 90.00°, β = 90.00° and γ = 90.00°. The distinct sites, in fractional coordinates, are Zr at (0.000, 0.086, 0.250), Ti at (0.000, 0.318, 0.750), Ti at (0.246, 0.354, 0.250) and Re at (0.000, 0.500, 0.000).

The value obtained for the volume is 370 Å³ per cell. For the theoretical density, the calculation gives 7.6 g/cm³.

Run two
A plane-wave DFT calculation with PBE-GGA was carried out for a relaxed ZrTi3Re crystal.

It has space group Pm-3m (No. 221), with a = 4.619 Å, b = 4.619 Å, c = 4.619 Å, α = 90.00°, β = 90.00° and γ = 90.00°. The distinct sites, in fractional coordinates, are Zr at (0.000, 0.000, 0.000), Ti at (0.000, 0.000, 0.500) and Re at (0.500, 0.500, 0.500).

The value obtained for the volume is 99 Å³ per cell. For the theoretical density, the calculation gives 7.1 g/cm³.

Run three
A plane-wave DFT calculation with PBE-GGA was carried out for a relaxed ZrTi3Re crystal.

It has space group Pm-3m (No. 221), with a = 4.740 Å, b = 4.740 Å, c = 4.740 Å, α = 90.00°, β = 90.00° and γ = 90.00°. The distinct sites, in fractional coordinates, are Zr at (0.000, 0.000, 0.000), Ti at (0.000, 0.500, 0.500) and Re at (0.500, 0.500, 0.500).

The value obtained for the volume is 106 Å³ per cell. For the theoretical density, the calculation gives 6.6 g/cm³.

If you had to name the least stable structure above, which would it be? It would be run two.